Record 1
Below is NaCa3 after structural relaxation, with properties calculated at the PBE-GGA level.

abc: 6.141 6.141 6.141
angles: 60.00 60.00 60.00
Positions (direct):
Na  0.000  0.000  0.000
Ca  0.250  0.250  0.250
Ca  0.500  0.500  0.500
Ca  0.750  0.750  0.750

Calculated values
Density of states at the Fermi level   3.831 states/eV per cell
Calculated formation energy   0.09 eV per atom
Calculated density   1.45 g/cm3


Record 2
Below is NaCa after structural relaxation, with properties calculated at the PBE-GGA level.

abc: 9.546 9.546 9.546
angles: 92.14 92.14 157.74
Positions (direct):
Na  0.083  0.366  0.449
Na  0.366  0.917  0.284
Na  0.634  0.083  0.716
Na  0.917  0.634  0.551
Ca  0.119  0.833  0.952
Ca  0.167  0.119  0.286
Ca  0.833  0.881  0.714
Ca  0.881  0.167  0.048

Calculated values
Density of states at the Fermi level   7.806 states/eV per cell
Calculated formation energy   0.19 eV per atom
Distance to the lowest polymorph of the same formula   152 meV/atom
Calculated density   1.30 g/cm3


Record 3
Below is NaCa4 after structural relaxation, with properties calculated at the PBE-GGA level.

abc: 6.089 6.089 6.089
angles: 90.00 90.00 90.00
Positions (direct):
Na  0.000  0.000  0.000
Ca  0.000  0.000  0.500
Ca  0.000  0.500  0.000
Ca  0.500  0.000  0.000
Ca  0.500  0.500  0.500

Calculated values
Density of states at the Fermi level   4.841 states/eV per cell
Calculated formation energy   0.34 eV per atom
Distance to the lowest polymorph of the same formula   312 meV/atom
Calculated density   1.35 g/cm3


Record 4
Below is NaCa after structural relaxation, with properties calculated at the PBE-GGA level.

abc: 3.924 3.924 10.144
angles: 90.00 90.00 90.00
Positions (direct):
Na  0.250  0.250  0.111
Na  0.750  0.750  0.889
Ca  0.250  0.250  0.635
Ca  0.750  0.750  0.365

Calculated values
Density of states at the Fermi level   3.117 states/eV per cell
Calculated formation energy   0.04 eV per atom
Distance to the lowest polymorph of the same formula   2 meV/atom
Calculated density   1.34 g/cm3


Record 5
Below is Na4Ca5 after structural relaxation, with properties calculated at the PBE-GGA level.

abc: 9.359 9.359 9.359
angles: 93.07 93.07 153.26
Positions (direct):
Na  0.000  0.337  0.337
Na  0.000  0.663  0.663
Na  0.337  0.000  0.337
Na  0.663  0.000  0.663
Ca  0.000  0.000  0.000
Ca  0.336  0.336  0.671
Ca  0.336  0.664  0.000
Ca  0.664  0.336  0.000
Ca  0.664  0.664  0.329

Calculated values
Density of states at the Fermi level   7.668 states/eV per cell
Calculated formation energy   0.05 eV per atom
Calculated density   1.35 g/cm3


Record 6
Below is NaCa after structural relaxation, with properties calculated at the PBE-GGA level.

abc: 4.263 4.263 4.263
angles: 90.00 90.00 90.00
Positions (direct):
Na  0.000  0.000  0.000
Ca  0.500  0.500  0.500

Calculated values
Density of states at the Fermi level   1.286 states/eV per cell
Calculated formation energy   0.08 eV per atom
Distance to the lowest polymorph of the same formula   41 meV/atom
Calculated density   1.35 g/cm3


Record 7
Below is NaCa after structural relaxation, with properties calculated at the PBE-GGA level.

abc: 7.077 7.142 12.516
angles: 90.00 90.00 90.00
Positions (direct):
Na  0.040  0.019  0.285
Na  0.242  0.634  0.456
Na  0.258  0.366  0.956
Na  0.460  0.981  0.785
Na  0.540  0.481  0.715
Na  0.742  0.866  0.544
Na  0.758  0.134  0.044
Na  0.960  0.519  0.215
Ca  0.066  0.643  0.726
Ca  0.226  0.859  0.030
Ca  0.274  0.141  0.530
Ca  0.434  0.357  0.226
Ca  0.566  0.857  0.274
Ca  0.726  0.641  0.970
Ca  0.774  0.359  0.470
Ca  0.934  0.143  0.774

Calculated values
Density of states at the Fermi level   11.996 states/eV per cell
Calculated formation energy   0.10 eV per atom
Distance to the lowest polymorph of the same formula   62 meV/atom
Calculated density   1.32 g/cm3


Record 8
Below is Na2Ca13 after structural relaxation, with properties calculated at the PBE-GGA level.

abc: 7.392 9.616 9.616
angles: 67.09 80.16 82.46
Positions (direct):
Na  0.133  0.462  0.293
Na  0.867  0.538  0.707
Ca  0.000  0.000  0.500
Ca  0.066  0.724  0.905
Ca  0.199  0.210  0.691
Ca  0.261  0.946  0.093
Ca  0.315  0.663  0.493
Ca  0.422  0.398  0.891
Ca  0.470  0.137  0.301
Ca  0.530  0.863  0.699
Ca  0.578  0.602  0.109
Ca  0.685  0.337  0.507
Ca  0.739  0.054  0.907
Ca  0.801  0.790  0.309
Ca  0.934  0.276  0.095

Calculated values
Density of states at the Fermi level   14.270 states/eV per cell
Calculated formation energy   0.03 eV per atom
Calculated density   1.52 g/cm3


Record 9
Below is Na3Ca after structural relaxation, with properties calculated at the PBE-GGA level.

abc: 5.996 5.996 5.996
angles: 60.00 60.00 60.00
Positions (direct):
Na  0.000  0.000  0.000
Na  0.250  0.250  0.250
Na  0.750  0.750  0.750
Ca  0.500  0.500  0.500

Calculated values
Density of states at the Fermi level   1.313 states/eV per cell
Calculated formation energy   0.08 eV per atom
Calculated density   1.19 g/cm3


Record 10
Below is NaCa5 after structural relaxation, with properties calculated at the PBE-GGA level.

abc: 9.896 9.896 4.164
angles: 90.00 90.00 142.87
Positions (direct):
Na  0.000  0.000  0.000
Ca  0.157  0.843  0.500
Ca  0.325  0.675  0.000
Ca  0.500  0.500  0.500
Ca  0.675  0.325  0.000
Ca  0.843  0.157  0.500

Calculated values
Density of states at the Fermi level   5.741 states/eV per cell
Calculated formation energy   0.04 eV per atom
Distance to the lowest polymorph of the same formula   8 meV/atom
Calculated density   1.51 g/cm3


Record 11
Below is NaCa5 after structural relaxation, with properties calculated at the PBE-GGA level.

abc: 3.863 3.863 16.508
angles: 90.00 90.00 90.00
Positions (direct):
Na  0.000  0.000  0.000
Ca  0.000  0.000  0.330
Ca  0.000  0.000  0.670
Ca  0.500  0.500  0.161
Ca  0.500  0.500  0.500
Ca  0.500  0.500  0.839

Calculated values
Density of states at the Fermi level   7.300 states/eV per cell
Calculated formation energy   0.03 eV per atom
Distance to the lowest polymorph of the same formula   0 meV/atom
Calculated density   1.51 g/cm3


Record 12
Below is Na13Ca2 after structural relaxation, with properties calculated at the PBE-GGA level.

abc: 9.556 9.556 9.556
angles: 57.96 57.96 57.96
Positions (direct):
Na  0.000  0.000  0.000
Na  0.157  0.157  0.547
Na  0.157  0.547  0.157
Na  0.312  0.312  0.687
Na  0.312  0.687  0.312
Na  0.313  0.688  0.688
Na  0.453  0.843  0.843
Na  0.547  0.157  0.157
Na  0.687  0.312  0.312
Na  0.688  0.313  0.688
Na  0.688  0.688  0.313
Na  0.843  0.453  0.843
Na  0.843  0.843  0.453
Ca  0.158  0.158  0.158
Ca  0.842  0.842  0.842

Calculated values
Density of states at the Fermi level   5.731 states/eV per cell
Calculated formation energy   0.10 eV per atom
Calculated density   1.07 g/cm3